Record 1
The following is a DFT calculation (PBE) of FeIr3Rh after structural relaxation.

a b c (Å): 5.144 4.713 7.210
angles (deg): 109.17 66.50 117.13
Site moments in Bohr magnetons follow the coordinates.
Element x y z (fractional)
Fe 0.045 0.139 0.048  2.70
Fe 0.555 0.013 0.952  2.70
Ir 0.043 0.943 0.654  0.02
Ir 0.550 0.604 0.147  0.04
Ir 0.051 0.343 0.451  -0.05
Ir 0.050 0.548 0.853  0.04
Ir 0.557 0.209 0.346  0.02
Ir 0.549 0.809 0.549  -0.05
Rh 0.059 0.745 0.241  0.10
Rh 0.541 0.406 0.759  0.10

Properties
As for the crystal system: triclinic. The electronic total energy comes out at -8.499 eV/atom.


Record 2
The following is a DFT calculation (PBE) of FeIrRh2 after structural relaxation.

a b c (Å): 3.696 3.696 8.976
angles (deg): 78.12 78.12 90.00
Element x y z (fractional)
Ir 0.000 0.000 0.000
Ir 0.750 0.250 0.500
Rh 0.613 0.125 0.250
Rh 0.137 0.625 0.250
Rh 0.375 0.387 0.750
Rh 0.875 0.863 0.750
Fe 0.500 0.500 0.000
Fe 0.250 0.750 0.500

Properties
As for the crystal system: tetragonal. The electronic total energy comes out at -7.513 eV/atom.


Record 3
The following is a DFT calculation (PBE) of FeIrRh after structural relaxation.

a b c (Å): 4.011 4.011 4.011
angles (deg): 60.00 60.00 60.00
Site moments in Bohr magnetons follow the coordinates.
Element x y z (fractional)
Fe 0.750 0.750 0.750  2.13
Ir 0.000 0.000 0.000  0.05
Rh 0.500 0.500 0.500  0.19

Properties
As for the crystal system: cubic. The electronic total energy comes out at -7.893 eV/atom.


Record 4
The following is a DFT calculation (PBE) of Fe3Ir2Rh after structural relaxation.

a b c (Å): 3.645 3.786 11.344
angles (deg): 90.00 90.00 90.00
Site moments in Bohr magnetons follow the coordinates.
Element x y z (fractional)
Fe 0.500 0.500 0.668  2.21
Fe 0.500 0.000 0.500  2.37
Fe 0.500 0.500 0.332  2.21
Fe 0.500 0.000 0.168  2.21
Fe 0.500 0.500 0.000  2.37
Fe 0.500 0.000 0.832  2.21
Ir 0.000 0.000 0.667  -0.03
Ir 0.000 0.000 0.333  -0.03
Ir 0.000 0.500 0.167  -0.03
Ir 0.000 0.500 0.833  -0.03
Rh 0.000 0.500 0.500  0.12
Rh 0.000 0.000 0.000  0.12

Properties
As for the crystal system: orthorhombic. The electronic total energy comes out at -8.436 eV/atom.


Record 5
The following is a DFT calculation (PBE) of FeIr2Rh2 after structural relaxation.

a b c (Å): 2.713 3.778 7.152
angles (deg): 105.32 100.93 90.00
Site moments in Bohr magnetons follow the coordinates.
Element x y z (fractional)
Fe 0.500 0.500 0.000  2.46
Ir 0.096 0.096 0.192  -0.02
Ir 0.904 0.904 0.808  -0.02
Rh 0.698 0.698 0.396  -0.08
Rh 0.302 0.302 0.604  -0.08

Properties
As for the crystal system: orthorhombic. The electronic total energy comes out at -8.209 eV/atom.


Record 6
The following is a DFT calculation (PBE) of Fe2IrRh after structural relaxation.

a b c (Å): 4.603 4.603 4.526
angles (deg): 79.47 79.47 34.09
Site moments in Bohr magnetons follow the coordinates.
Element x y z (fractional)
Fe 0.999 0.999 0.997  2.50
Fe 0.250 0.250 0.255  2.55
Ir 0.501 0.501 0.491  -0.03
Rh 0.750 0.750 0.758  0.12

Properties
As for the crystal system: monoclinic. The electronic total energy comes out at -8.283 eV/atom.


Calculated DOS(E_F) in order - 5.427; 5.959; 3.288; 6.140; 5.471; 5.820 states/eV/f.u.
Calculated energy of formation in order - -0.02; 0.49; 0.33; -0.03; -0.03; 0.00 eV/atom